# MnNF2, optimized geometry, DFT PBE with a Hubbard U
data_MnNF2
_space_group_name_H-M_alt 'P 1'
_space_group_IT_number 1
_cell_length_a 3.9496
_cell_length_b 3.9496
_cell_length_c 3.9496
_cell_angle_alpha 60.00
_cell_angle_beta 60.00
_cell_angle_gamma 60.00
loop_
_space_group_symop_operation_xyz
'x,y,z'
loop_
_atom_site_label
_atom_site_type_symbol
_atom_site_fract_x
_atom_site_fract_y
_atom_site_fract_z
Mn1 Mn 0.0000 0.0000 0.0000
N1 N 0.5000 0.5000 0.5000
F1 F 0.2500 0.2500 0.2500
F2 F 0.7500 0.7500 0.7500
# Spin magnetization in μB per atom: 0.50
# Polymorph energy (0 for the lowest one) in meV per atom: 239
# Total energy in eV for the cell shown: -21.14